RbSr2TlIr after structural relaxation. Source: Alexandria via LeMat-Bulk, functional GGA-PBE.

Space-group type ... P4/mmm (123)
Total magnetic moment ... 0.00 Bohr magnetons per cell
Total energy ... -15.923 eV per cell
Mass density ... 5.64 g/cm³
Fermi-level density of states ... 2.7 states/eV/cell

Structure (extended XYZ):
```
5
Lattice="5.9439 0.0000 0.0000 0.0000 5.9439 0.0000 0.0000 0.0000 5.4766" Properties=species:S:1:pos:R:3 pbc="T T T"
Rb 0.0000 0.0000 0.0000
Sr 0.0000 2.9719 2.7383
Sr 2.9719 0.0000 2.7383
Tl 2.9719 2.9719 0.0000
Ir 2.9719 2.9719 2.7383
```

=====

SeF after structural relaxation. Source: Alexandria via LeMat-Bulk, functional GGA-PBE.

Space-group type ... P1 (1)
Total magnetic moment ... 0.00 Bohr magnetons per cell
Total energy ... -29.465 eV per cell
Uncorrected formation energy ... -1.01 eV/atom
Mass density ... 3.87 g/cm³

Structure (extended XYZ):
```
8
Lattice="4.9703 0.0000 0.0000 1.2920 5.8469 0.0000 0.3005 1.5963 5.7828" Properties=species:S:1:pos:R:3 pbc="T T T"
Se 0.0000 0.0000 0.0000
Se 1.2827 3.4802 4.3143
Se 2.7527 2.6919 2.5626
Se 4.3582 4.2823 2.9570
F 0.8515 1.0114 1.3709
F 3.1832 6.5294 5.5397
F 3.5630 1.3364 0.0546
F 5.9391 6.6538 4.1921
```

=====

CsRb2CuS2 after structural relaxation. Source: Alexandria via LeMat-Bulk, functional GGA-PBE.

Space-group type ... Pnnm (58)
Total magnetic moment ... 0.00 Bohr magnetons per cell
Total energy ... -40.920 eV per cell
Uncorrected formation energy ... -0.89 eV/atom
Mass density ... 3.40 g/cm³
Fermi-level density of states ... 0.0 states/eV/cell

Structure (extended XYZ):
```
12
Lattice="8.0757 0.0000 0.0000 0.0000 8.8815 0.0000 0.0000 0.0000 5.8825" Properties=species:S:1:pos:R:3 pbc="T T T"
Cs 0.0000 0.0000 0.0000
Cs 4.0379 4.4407 2.9413
Rb 0.7925 2.3405 2.9413
Rb 3.2453 6.7812 0.0000
Rb 4.8304 2.1003 0.0000
Rb 7.2832 6.5410 2.9413
Cu 0.0000 4.4407 0.0000
Cu 4.0379 0.0000 2.9413
S 1.9361 3.5361 0.0000
S 2.1017 7.9768 2.9413
S 5.9740 0.9046 2.9413
S 6.1396 5.3453 0.0000
```

=====

ScBeCu4 after structural relaxation. Source: Alexandria via LeMat-Bulk, functional GGA-PBE.

Space-group type ... F-43m (216)
Total magnetic moment ... 0.00 Bohr magnetons per cell
Total energy ... -26.843 eV per cell
Mass density ... 6.34 g/cm³
Fermi-level density of states ... 3.6 states/eV/cell

Structure (extended XYZ):
```
6
Lattice="0.0000 3.4296 3.4296 3.4296 0.0000 3.4296 3.4296 3.4296 0.0000" Properties=species:S:1:pos:R:3 pbc="T T T"
Sc 0.0000 0.0000 0.0000
Be 5.1444 5.1444 5.1444
Cu 2.5776 2.5776 2.5776
Cu 4.2815 4.2815 2.5776
Cu 4.2815 2.5776 4.2815
Cu 2.5776 4.2815 4.2815
```

=====

Ba2Au after structural relaxation. Source: Alexandria via LeMat-Bulk, functional GGA-PBE.

Space-group type ... P-3m1 (164)
Total magnetic moment ... 0.00 Bohr magnetons per cell
Total energy ... -8.653 eV per cell
Mass density ... 5.13 g/cm³
Fermi-level density of states ... 2.6 states/eV/cell

Structure (extended XYZ):
```
3
Lattice="4.8096 0.0000 0.0000 -2.4048 4.1653 0.0000 0.0000 0.0000 7.6185" Properties=species:S:1:pos:R:3 pbc="T T T"
Ba 0.0000 2.7768 2.0360
Ba 2.4048 1.3884 5.5825
Au 0.0000 0.0000 3.8093
```

=====

Pm3Y6ErSc2 after structural relaxation. Source: Alexandria via LeMat-Bulk, functional GGA-PBE.

Space-group type ... C2/m (12)
Total magnetic moment ... 0.00 Bohr magnetons per cell
Total energy ... -69.749 eV per cell
Mass density ... 5.42 g/cm³
Fermi-level density of states ... 18.7 states/eV/cell

Structure (extended XYZ):
```
12
Lattice="3.0702 -5.3163 0.0000 3.0702 5.3163 0.0000 -2.0453 0.0000 11.4980" Properties=species:S:1:pos:R:3 pbc="T T T"
Pm 0.0000 0.0000 0.0000
Pm 3.0702 1.7741 0.0000
Pm 3.0702 -1.7741 0.0000
Y 1.0144 1.7844 2.9704
Y -0.0120 0.0000 8.5281
Y 1.0144 -1.7844 2.9704
Y 3.0808 1.7844 8.5276
Y 4.1071 0.0000 2.9699
Y 3.0808 -1.7844 8.5276
Er 2.0476 0.0000 5.7490
Sc 2.0476 3.5435 5.7490
Sc 2.0476 -3.5435 5.7490
```

=====

EuSc2Hg after structural relaxation. Source: Alexandria via LeMat-Bulk, functional GGA-PBE.

Space-group type ... P4/mmm (123)
Total magnetic moment ... 7.31 Bohr magnetons per cell
Total energy ... -23.539 eV per cell
Mass density ... 7.27 g/cm³
Fermi-level density of states ... 5.0 states/eV/cell

Structure (extended XYZ):
```
4
Lattice="4.6642 0.0000 0.0000 0.0000 4.6642 0.0000 0.0000 0.0000 4.6467" Properties=species:S:1:pos:R:3 pbc="T T T"
Eu 0.0000 0.0000 0.0000
Sc 0.0000 2.3321 2.3234
Sc 2.3321 0.0000 2.3234
Hg 2.3321 2.3321 0.0000
```

=====

K2LaSi after structural relaxation. Source: Alexandria via LeMat-Bulk, functional GGA-PBE.

Space-group type ... I-4m2 (119)
Total magnetic moment ... 0.01 Bohr magnetons per cell
Total energy ... -22.673 eV per cell
Uncorrected formation energy ... 0.30 eV/atom
Mass density ... 3.17 g/cm³
Fermi-level density of states ... 7.5 states/eV/cell

Structure (extended XYZ):
```
8
Lattice="5.6571 0.0000 0.0000 0.0000 5.6571 0.0000 0.0000 0.0000 8.0239" Properties=species:S:1:pos:R:3 pbc="T T T"
K 0.0000 0.0000 0.0000
K 0.0000 2.8285 2.0060
K 2.8285 0.0000 6.0179
K 2.8285 2.8285 4.0119
La 0.0000 2.8285 6.0179
La 2.8285 0.0000 2.0060
Si 0.0000 0.0000 4.0119
Si 2.8285 2.8285 0.0000
```

=====

CdHg2P after structural relaxation. Source: Alexandria via LeMat-Bulk, functional GGA-PBE.

Space-group type ... I-42d (122)
Total magnetic moment ... 0.00 Bohr magnetons per cell
Total energy ... -23.066 eV per cell
Mass density ... 7.30 g/cm³
Fermi-level density of states ... 11.2 states/eV/cell

Structure (extended XYZ):
```
16
Lattice="6.4743 0.0000 0.0000 0.0000 6.4743 0.0000 0.0000 0.0000 11.8189" Properties=species:S:1:pos:R:3 pbc="T T T"
Cd 0.0000 0.0000 0.0000
Cd 0.0000 3.2372 2.9547
Cd 3.2372 0.0000 8.8642
Cd 3.2372 3.2372 5.9095
Hg 1.2352 1.6186 7.3868
Hg 1.6186 4.4724 10.3415
Hg 1.6186 5.2391 4.4321
Hg 2.0019 1.6186 1.4774
Hg 4.4724 4.8557 1.4774
Hg 4.8557 1.2352 4.4321
Hg 4.8557 2.0019 10.3415
Hg 5.2391 4.8557 7.3868
P 0.0000 0.0000 5.9095
P 0.0000 3.2372 8.8642
P 3.2372 0.0000 2.9547
P 3.2372 3.2372 0.0000
```

=====

CrAgSb2Ir after structural relaxation. Source: Alexandria via LeMat-Bulk, functional GGA-PBE.

Space-group type ... P4/mmm (123)
Total magnetic moment ... 0.61 Bohr magnetons per cell
Total energy ... -25.539 eV per cell
Uncorrected formation energy ... 0.81 eV/atom
Mass density ... 8.76 g/cm³
Fermi-level density of states ... 4.4 states/eV/cell

Structure (extended XYZ):
```
5
Lattice="4.9376 0.0000 0.0000 0.0000 4.9376 0.0000 0.0000 0.0000 4.6316" Properties=species:S:1:pos:R:3 pbc="T T T"
Cr 0.0000 0.0000 0.0000
Ag 2.4688 2.4688 2.3158
Sb 0.0000 2.4688 0.0000
Sb 2.4688 0.0000 0.0000
Ir 0.0000 0.0000 2.3158
```

=====

AlZnRe after structural relaxation. Source: Alexandria via LeMat-Bulk, functional GGA-PBE.

Space-group type ... I4mm (107)
Total magnetic moment ... 0.00 Bohr magnetons per cell
Total energy ... -33.786 eV per cell
Mass density ... 10.31 g/cm³
Fermi-level density of states ... 5.9 states/eV/cell

Structure (extended XYZ):
```
6
Lattice="2.7133 0.0000 0.0000 0.0000 2.7133 0.0000 0.0000 0.0000 12.1937" Properties=species:S:1:pos:R:3 pbc="T T T"
Al 0.0000 0.0000 0.0000
Al 1.3567 1.3567 6.0968
Zn 0.0000 0.0000 4.0001
Zn 1.3567 1.3567 10.0969
Re 0.0000 0.0000 8.0506
Re 1.3567 1.3567 1.9538
```

=====

ReAu after structural relaxation. Source: Alexandria via LeMat-Bulk, functional GGA-PBE.

Space-group type ... R-3m (166)
Total magnetic moment ... 0.00 Bohr magnetons per cell
Total energy ... -92.216 eV per cell
Mass density ... 19.21 g/cm³
Fermi-level density of states ... 6.6 states/eV/cell

Structure (extended XYZ):
```
12
Lattice="2.8207 0.0000 0.0000 -1.4103 2.4428 0.0000 0.0000 0.0000 28.8425" Properties=species:S:1:pos:R:3 pbc="T T T"
Re 0.0000 0.0000 3.7769
Re 0.0000 0.0000 25.0657
Re 0.0000 1.6285 15.4515
Re 0.0000 1.6285 23.0052
Re 1.4103 0.8143 5.8373
Re 1.4103 0.8143 13.3910
Au 0.0000 0.0000 10.9058
Au 0.0000 0.0000 17.9367
Au 0.0000 1.6285 1.2917
Au 0.0000 1.6285 8.3225
Au 1.4103 0.8143 20.5200
Au 1.4103 0.8143 27.5508
```